[1]
YMnRu2 PBE optimized geometry; DFT formation energy = 0.233 eV/atom; M_tot = 3.7 μB per cell; DFT total energy = -33.3 eV/f.u.; volume = 16.7 Å³/atom
1.0
4.5559 0.0000 0.0000
2.2780 3.9455 0.0000
2.2780 1.3152 3.7199
Mn Ru Y
1 2 1
Cartesian
4.5559 2.6304 1.8599
0.0000 0.0000 0.0000
2.2780 1.3152 0.9300
6.8339 3.9455 2.7899

---

[2]
NdCuH3 PBE optimized geometry; M_tot = 0.0 μB per cell; DFT total energy = -20.1 eV/f.u.; volume = 10.0 Å³/atom
1.0
-2.7934 -2.4031 -0.0393
0.5211 -0.5467 -3.6068
2.3463 -2.7397 0.7542
Nd H Cu
1 3 1
Cartesian
0.0370 -2.8448 -1.4460
1.1731 -1.3698 0.3771
0.2605 -0.2734 -1.8034
-1.3967 -1.2016 -0.0197
0.0000 0.0000 0.0000

---

- What is the volume in the second record?
  10.0 Å³/atom